(1)
The following is a GGA-PBE calculation of a geometry-optimized Ac2Si5Ni3 structure, from Alexandria via LeMat-Bulk.

```
Ac2Si5Ni3
1.0
-4.9774 5.9134 2.9713
4.9774 -5.9134 2.9713
4.9774 5.9134 -2.9713
Ac Si Ni
4 10 6
Direct
0.1274 0.2448 0.3722
0.3726 0.7448 0.1174
0.6274 0.2552 0.8826
0.8726 0.7552 0.6278
0.0021 0.7500 0.2521
0.1147 0.6334 0.7480
0.2500 0.2500 0.0000
0.3853 0.1334 0.5187
0.4979 0.7500 0.7479
0.5021 0.2500 0.2521
0.6147 0.8666 0.4813
0.7500 0.7500 0.0000
0.8853 0.3666 0.2520
0.9979 0.2500 0.7479
0.1293 0.8873 0.0166
0.2500 0.7500 0.5000
0.3707 0.3873 0.7580
0.6293 0.6127 0.2420
0.7500 0.2500 0.5000
0.8707 0.1127 0.9834
```

Fermi-level density of states (states/eV per cell): 6.49
Space group: No. 72
Raw formation energy (eV per atom): -0.6530


(2)
The following is a GGA-PBE calculation of a geometry-optimized Cr4NiRh7 structure, from Alexandria via LeMat-Bulk.

```
Cr4NiRh7
1.0
5.4007 -2.2178 0.0000
5.4007 2.2178 0.0000
-4.7494 0.0000 7.3707
Cr Ni Rh
4 1 7
Direct
0.0661 0.0661 0.2769
0.2095 0.2095 0.8264
0.7905 0.7905 0.1736
0.9339 0.9339 0.7231
0.5000 0.5000 0.5000
0.0000 0.0000 0.5000
0.1486 0.1486 0.0859
0.2839 0.2839 0.6100
0.4224 0.4224 0.1495
0.5776 0.5776 0.8505
0.7161 0.7161 0.3900
0.8514 0.8514 0.9141
```

ΔH_f (0 K) (eV per atom): 0.33
Fermi-level density of states (states/eV per cell): 14.50
Space group: No. 12